# SrSeCl2 (PBE, optimized geometry)
data_SrSeCl2
_chemical_formula_sum 'Sr1 Se1 Cl2'
_cell_length_a 3.963
_cell_length_b 4.371
_cell_length_c 5.733
_cell_angle_alpha 90.00
_cell_angle_beta 90.00
_cell_angle_gamma 90.00
_symmetry_space_group_name_H-M 'P m m m'
_symmetry_Int_Tables_number 47
loop_
_symmetry_equiv_pos_as_xyz
'x,y,z'
'-x,-y,-z'
'-x,-y,z'
'x,y,-z'
'x,-y,-z'
'-x,y,z'
'-x,y,-z'
'x,-y,z'
loop_
_atom_site_label
_atom_site_type_symbol
_atom_site_fract_x
_atom_site_fract_y
_atom_site_fract_z
_atom_site_occupancy
Sr1 Sr 0.000 0.000 0.000 1
Se1 Se 0.500 0.000 0.500 1
Cl1 Cl 0.000 0.500 0.500 1
Cl2 Cl 0.500 0.500 0.000 1
# ΔE_f (raw): -1.260 eV/atom

***

# Li2Cu2Pt (PBE, optimized geometry)
data_Li2Cu2Pt
_chemical_formula_sum 'Li4 Cu4 Pt2'
_cell_length_a 4.687
_cell_length_b 4.689
_cell_length_c 6.324
_cell_angle_alpha 90.00
_cell_angle_beta 90.40
_cell_angle_gamma 90.00
_symmetry_space_group_name_H-M 'C 1 2/m 1'
_symmetry_Int_Tables_number 12
loop_
_symmetry_equiv_pos_as_xyz
'x,y,z'
'-x,-y,-z'
'-x,y,-z'
'x,-y,z'
'x+1/2,y+1/2,z'
'-x+1/2,-y+1/2,-z'
'-x+1/2,y+1/2,-z'
'x+1/2,-y+1/2,z'
loop_
_atom_site_label
_atom_site_type_symbol
_atom_site_fract_x
_atom_site_fract_y
_atom_site_fract_z
_atom_site_occupancy
Li1 Li 0.000 0.000 0.190 1
Cu1 Cu 0.250 0.250 0.500 1
Pt1 Pt 0.000 0.500 0.000 1
# Energy: -0.2650 Ry/atom

***

# CaBeRe2 (PBE, optimized geometry)
data_CaBeRe2
_chemical_formula_sum 'Ca1 Be1 Re2'
_cell_length_a 3.212
_cell_length_b 4.513
_cell_length_c 4.716
_cell_angle_alpha 90.00
_cell_angle_beta 101.00
_cell_angle_gamma 90.00
_symmetry_space_group_name_H-M 'P 1 2/m 1'
_symmetry_Int_Tables_number 10
loop_
_symmetry_equiv_pos_as_xyz
'x,y,z'
'-x,-y,-z'
'-x,y,-z'
'x,-y,z'
loop_
_atom_site_label
_atom_site_type_symbol
_atom_site_fract_x
_atom_site_fract_y
_atom_site_fract_z
_atom_site_occupancy
Ca1 Ca 0.000 0.000 0.000 1
Be1 Be 0.500 0.000 0.500 1
Re1 Re 0.335 0.500 0.712 1
# Energy: -0.5180 Ry/atom

***

# Er4Cu2Sn (PBE, optimized geometry)
data_Er4Cu2Sn
_chemical_formula_sum 'Er16 Cu8 Sn4'
_cell_length_a 8.501
_cell_length_b 14.907
_cell_length_c 6.837
_cell_angle_alpha 90.00
_cell_angle_beta 128.22
_cell_angle_gamma 90.00
_symmetry_space_group_name_H-M 'C 1 c 1'
_symmetry_Int_Tables_number 9
loop_
_symmetry_equiv_pos_as_xyz
'x,y,z'
'x,-y,z+1/2'
'x+1/2,y+1/2,z'
'x+1/2,-y+1/2,z+1/2'
loop_
_atom_site_label
_atom_site_type_symbol
_atom_site_fract_x
_atom_site_fract_y
_atom_site_fract_z
_atom_site_occupancy
Er1 Er 0.000 0.026 0.000 1
Er2 Er 0.241 0.330 0.658 1
Er3 Er 0.442 0.245 0.353 1
Er4 Er 0.468 0.037 0.633 1
Cu1 Cu 0.143 0.164 0.368 1
Cu2 Cu 0.222 0.410 0.026 1
Sn1 Sn 0.245 0.139 0.836 1
# Energy: -0.3428 Ry/atom

***

# Be2NbCo2 (PBE, optimized geometry)
data_Be2NbCo2
_chemical_formula_sum 'Be4 Nb2 Co4'
_cell_length_a 3.650
_cell_length_b 3.650
_cell_length_c 8.415
_cell_angle_alpha 90.00
_cell_angle_beta 90.00
_cell_angle_gamma 90.00
_symmetry_space_group_name_H-M 'I 4/m m m'
_symmetry_Int_Tables_number 139
_symmetry_space_group_name_Hall '-I 4 2'
loop_
_atom_site_label
_atom_site_type_symbol
_atom_site_fract_x
_atom_site_fract_y
_atom_site_fract_z
_atom_site_occupancy
Be1 Be 0.000 0.500 0.250 1
Nb1 Nb 0.000 0.000 0.000 1
Co1 Co 0.000 0.000 0.369 1
# Energy: -0.4654 Ry/atom

***

# Mg2SiMo (PBE, optimized geometry)
data_Mg2SiMo
_chemical_formula_sum 'Mg2 Si1 Mo1'
_cell_length_a 3.778
_cell_length_b 4.034
_cell_length_c 4.276
_cell_angle_alpha 90.00
_cell_angle_beta 90.00
_cell_angle_gamma 90.00
_symmetry_space_group_name_H-M 'P m m m'
_symmetry_Int_Tables_number 47
loop_
_symmetry_equiv_pos_as_xyz
'x,y,z'
'-x,-y,-z'
'-x,-y,z'
'x,y,-z'
'x,-y,-z'
'-x,y,z'
'-x,y,-z'
'x,-y,z'
loop_
_atom_site_label
_atom_site_type_symbol
_atom_site_fract_x
_atom_site_fract_y
_atom_site_fract_z
_atom_site_occupancy
Mg1 Mg 0.000 0.000 0.000 1
Mg2 Mg 0.500 0.500 0.000 1
Si1 Si 0.000 0.500 0.500 1
Mo1 Mo 0.500 0.000 0.500 1
# ΔE_f (raw): 0.163 eV/atom

***

# Sr2TmTaO6 (PBE, optimized geometry)
data_Sr2TmTaO6
_chemical_formula_sum 'Sr4 Tm2 Ta2 O12'
_cell_length_a 5.825
_cell_length_b 5.890
_cell_length_c 10.097
_cell_angle_alpha 90.00
_cell_angle_beta 125.06
_cell_angle_gamma 90.00
_symmetry_space_group_name_H-M 'P 1 21/c 1'
_symmetry_Int_Tables_number 14
loop_
_symmetry_equiv_pos_as_xyz
'x,y,z'
'-x,-y,-z'
'-x,y+1/2,-z+1/2'
'x,-y+1/2,z+1/2'
loop_
_atom_site_label
_atom_site_type_symbol
_atom_site_fract_x
_atom_site_fract_y
_atom_site_fract_z
_atom_site_occupancy
Sr1 Sr 0.242 0.033 0.250 1
Tm1 Tm 0.500 0.000 0.000 1
Ta1 Ta 0.000 0.000 0.500 1
O1 O 0.158 0.227 0.958 1
O2 O 0.234 0.703 0.961 1
O3 O 0.314 0.021 0.737 1
# ΔE_f (raw): -3.218 eV/atom

***

# TlAuC (PBE, optimized geometry)
data_TlAuC
_chemical_formula_sum 'Tl2 Au2 C2'
_cell_length_a 4.8870
_cell_length_b 4.8870
_cell_length_c 8.5344
_cell_angle_alpha 90.00
_cell_angle_beta 90.00
_cell_angle_gamma 120.00
_symmetry_space_group_name_H-M 'P 63/m m c'
_symmetry_Int_Tables_number 194
_symmetry_space_group_name_Hall '-P 6c 2c'
loop_
_atom_site_label
_atom_site_type_symbol
_atom_site_fract_x
_atom_site_fract_y
_atom_site_fract_z
_atom_site_occupancy
Tl1 Tl 0.0000 0.0000 0.2500 1
Au1 Au 0.3333 0.6667 0.2500 1
C1 C 0.0000 0.0000 0.0000 1
# Energy: -0.2068 Ry/atom

***

Which theoretical density belongs to each record? In order, 4.0 8.0 10.4 8.9 6.8 4.4 7.3 7.8 g/cm³.